[1]
Below is an optimized crystal structure of Ag2IrRu, with properties calculated at the PBEsol level.

Values from the calculation:
E above lowest polymorph   326 meV/atom
ΔE_f   525 meV/atom
Uncorrected energy   -6.13 eV per atom

Unit cell a=2.733 b=4.627 c=4.813 alpha=90.00 beta=90.00 gamma=90.00
Space group Pmmm (No. 47)
One atom of each set of equivalent atoms:
Ag 0.000 0.000 0.000 [1 per cell]
Ag 0.500 0.500 0.000 [1 per cell]
Ir 0.000 0.500 0.500 [1 per cell]
Ru 0.500 0.000 0.500 [1 per cell]

***

[2]
Below is an optimized crystal structure of AgIr2Ru, with properties calculated at the PBEsol level.

Values from the calculation:
E above lowest polymorph   245 meV/atom
ΔE_f   420 meV/atom
Uncorrected energy   -7.86 eV per atom

Unit cell a=5.456 b=7.765 c=2.710 alpha=90.00 beta=90.00 gamma=90.00
Space group Cmmm (No. 65)
One atom of each set of equivalent atoms:
Ag 0.000 0.000 0.000 [2 per cell]
Ir 0.250 0.250 0.500 [4 per cell]
Ru 0.000 0.500 0.000 [2 per cell]

***

[3]
Below is an optimized crystal structure of Ag2IrRu, with properties calculated at the PBEsol level.

Values from the calculation:
E above lowest polymorph   424 meV/atom
ΔE_f   623 meV/atom
Uncorrected energy   -6.03 eV per atom

Unit cell a=2.652 b=4.295 c=5.289 alpha=90.00 beta=90.00 gamma=90.00
Space group Pmmm (No. 47)
One atom of each set of equivalent atoms:
Ag 0.000 0.000 0.249 [2 per cell]
Ir 0.500 0.500 0.500 [1 per cell]
Ru 0.500 0.500 0.000 [1 per cell]